1.
MgTl2Ga2Au7, optimized geometry, DFT PBE-GGA; formation energy from the elements = -17.5 kJ per mole of atoms; density of states at the Fermi level = 3.4 states/eV per cell; SG = C2/m (12); E_tot = -37.50 eV for the cell shown
1.0
4.217 0.010 -0.164
0.015 4.217 -0.164
1.488 1.486 14.663
Mg Tl Ga Au
1 2 2 7
Cartesian
0.000 0.000 0.000
4.531 4.526 5.272
1.188 1.187 9.063
3.494 3.490 10.882
2.226 2.223 3.453
2.116 2.113 -0.164
2.460 2.457 5.944
3.259 3.255 8.391
4.286 2.189 1.790
2.194 4.283 1.790
3.525 1.429 12.545
1.434 3.524 12.545



2.
TmMgGa2Au2, optimized geometry, DFT PBE-GGA; formation energy from the elements = -58.4 kJ per mole of atoms; density of states at the Fermi level = 2.8 states/eV per cell; SG = P-3m1 (164); E_tot = -22.31 eV for the cell shown
1.0
-0.562 0.351 4.451
1.238 -3.930 -1.809
6.345 1.691 0.667
Tm Mg Ga Au
1 1 2 2
Cartesian
0.000 0.000 0.000
3.172 0.846 0.334
1.677 -0.639 2.537
5.344 -1.249 0.773
4.719 0.172 2.857
2.302 -2.060 0.453



3.
TmMg2Ga2Au2, optimized geometry, DFT PBE-GGA; formation energy from the elements = -52.9 kJ per mole of atoms; density of states at the Fermi level = 2.8 states/eV per cell; SG = R-3m (166); E_tot = -24.11 eV for the cell shown
1.0
-4.456 0.807 0.070
-2.266 -0.140 3.919
-0.841 7.855 2.412
Tm Mg Ga Au
1 2 2 2
Cartesian
0.000 0.000 0.000
-1.401 4.801 1.979
-6.161 3.721 4.422
-4.207 1.938 2.871
-3.355 6.584 3.529
-5.656 6.476 4.812
-1.906 2.046 1.588



4.
Mg2GaWAu, optimized geometry, DFT PBE-GGA; formation energy from the elements = 93.0 kJ per mole of atoms; density of states at the Fermi level = 2.8 states/eV per cell; SG = P4/mmm (123); ΔE to the lowest computed polymorph = 0.0 meV/atom; E_tot = -17.63 eV for the cell shown
1.0
-1.000 0.035 4.860
-2.827 -3.797 -0.554
3.868 -2.999 0.817
Mg Au Ga W
2 1 1 1
Cartesian
1.934 -1.499 0.409
-0.500 0.017 2.430
0.000 0.000 0.000
-1.413 -1.899 -0.277
0.021 -3.381 2.561



5.
Mg2GaWAu, optimized geometry, DFT PBE-GGA; formation energy from the elements = 116.3 kJ per mole of atoms; density of states at the Fermi level = 2.7 states/eV per cell; SG = P4/mmm (123); ΔE to the lowest computed polymorph = 241.8 meV/atom; E_tot = -16.42 eV for the cell shown
1.0
4.895 0.000 0.000
0.000 4.736 0.000
0.000 0.000 4.895
Mg Au Ga W
2 1 1 1
Cartesian
0.000 0.000 2.447
2.447 0.000 0.000
0.000 2.368 0.000
0.000 0.000 0.000
2.447 2.368 2.447



6.
YMgGa2Au4, optimized geometry, DFT PBE-GGA; formation energy from the elements = -51.3 kJ per mole of atoms; density of states at the Fermi level = 3.2 states/eV per cell; SG = R-3m (166); E_tot = -31.48 eV for the cell shown
1.0
4.578 0.000 0.000
2.289 3.965 0.000
2.289 1.322 8.470
Y Mg Ga Au
1 1 2 4
Cartesian
0.000 0.000 0.000
4.578 2.643 4.235
6.867 3.965 6.297
2.289 1.322 2.173
4.578 2.643 7.001
6.867 3.965 3.338
2.289 1.322 5.132
4.578 2.643 1.468



7.
Y2MgGa4Au3, optimized geometry, DFT PBE-GGA; formation energy from the elements = -56.7 kJ per mole of atoms; density of states at the Fermi level = 6.0 states/eV per cell; SG = P-4m2 (115); E_tot = -42.34 eV for the cell shown
1.0
4.191 0.000 0.000
0.000 4.191 0.000
0.000 0.000 11.494
Y Mg Ga Au
2 1 4 3
Cartesian
2.095 0.000 2.838
0.000 2.095 8.657
2.095 2.095 5.747
2.095 2.095 0.000
0.000 0.000 0.000
2.095 0.000 7.427
0.000 2.095 4.068
0.000 0.000 5.747
2.095 0.000 9.924
0.000 2.095 1.570



8.
YMgGa2Au5, optimized geometry, DFT PBE-GGA; formation energy from the elements = -37.3 kJ per mole of atoms; density of states at the Fermi level = 2.7 states/eV per cell; SG = P4/mmm (123); E_tot = -33.98 eV for the cell shown
1.0
4.718 0.000 0.000
0.000 4.718 0.000
0.000 0.000 8.242
Y Mg Ga Au
1 1 2 5
Cartesian
0.000 0.000 4.121
0.000 0.000 0.000
2.359 2.359 1.212
2.359 2.359 7.031
0.000 2.359 2.214
2.359 0.000 2.214
0.000 2.359 6.029
2.359 0.000 6.029
2.359 2.359 4.121



9.
YMg2GaAu4, optimized geometry, DFT PBE-GGA; formation energy from the elements = -55.4 kJ per mole of atoms; density of states at the Fermi level = 3.6 states/eV per cell; SG = R-3m (166); E_tot = -30.38 eV for the cell shown
1.0
-3.165 -0.944 3.232
-0.781 -4.377 1.260
4.640 -1.100 7.525
Y Mg Ga Au
1 2 1 4
Cartesian
0.000 0.000 0.000
0.396 -4.830 8.886
0.299 -1.591 3.131
0.347 -3.210 6.009
2.304 -2.989 7.990
-1.707 -5.067 6.758
2.401 -1.353 5.259
-1.610 -3.432 4.028



10.
MgZn2GaAu4, optimized geometry, DFT PBE-GGA; formation energy from the elements = -26.8 kJ per mole of atoms; density of states at the Fermi level = 2.1 states/eV per cell; SG = R-3m (166); E_tot = -22.50 eV for the cell shown
1.0
4.545 0.000 0.000
2.273 3.936 0.000
2.273 1.312 7.572
Mg Zn Ga Au
1 2 1 4
Cartesian
0.000 0.000 0.000
6.818 3.936 5.781
2.273 1.312 1.791
4.545 2.624 3.786
4.545 2.624 6.557
6.818 3.936 2.853
2.273 1.312 4.719
4.545 2.624 1.015



11.
MgZnGaAu2, optimized geometry, DFT PBE-GGA; formation energy from the elements = -35.0 kJ per mole of atoms; density of states at the Fermi level = 0.7 states/eV per cell; SG = P3m1 (156); ΔE to the lowest computed polymorph = 0.0 meV/atom; E_tot = -14.26 eV for the cell shown
1.0
4.559 0.000 0.000
-2.280 3.949 0.000
0.000 0.000 5.265
Mg Zn Ga Au
1 1 1 2
Cartesian
0.000 0.000 0.006
2.280 1.316 1.810
0.000 2.632 3.443
0.000 2.632 0.893
2.280 1.316 4.377



12.
MgZnGaAu, optimized geometry, DFT PBE-GGA; formation energy from the elements = -24.5 kJ per mole of atoms; density of states at the Fermi level = 1.1 states/eV per cell; SG = Cm (8); E_tot = -10.19 eV for the cell shown
1.0
-2.798 2.522 -2.295
-1.512 -2.499 3.337
-1.297 2.493 4.321
Mg Zn Ga Au
1 1 1 1
Cartesian
-1.496 1.331 3.287
-3.215 1.644 5.727
-2.106 2.082 0.617
-4.121 0.870 1.743



13.
MgZnGaAu2, optimized geometry, DFT PBE-GGA; formation energy from the elements = 14.8 kJ per mole of atoms; density of states at the Fermi level = 1.7 states/eV per cell; SG = P4/mmm (123); ΔE to the lowest computed polymorph = 516.3 meV/atom; E_tot = -11.68 eV for the cell shown
1.0
-3.240 2.130 3.024
-3.400 -0.838 -3.053
-0.854 -4.342 2.143
Zn Au Mg Ga
1 2 1 1
Cartesian
-1.700 -0.419 -1.526
-0.427 -2.171 1.072
-1.620 1.065 1.512
-3.747 -1.526 1.057
0.000 0.000 0.000